No. 1
The following is a PBE calculation of an optimized crystal structure of Y8Pu, from Alexandria via LeMat-Bulk.

abc: 5.0283 7.9460 7.9460
angles: 84.25 71.55 71.55
Last column: magnetic moment on the atom in μB.
Atoms (fractional coordinates):
1 Y 0.6644 0.0000 0.6712  0.06
2 Y 0.3356 0.3288 0.0000  0.06
3 Pu 0.0000 0.0000 0.0000  5.64
4 Y 0.6644 0.6712 0.0000  0.06
5 Y 0.3313 0.6687 0.6687  -0.05
6 Y 0.0000 0.3313 0.6687  -0.05
7 Y 0.6687 0.3313 0.3313  -0.05
8 Y 0.3356 0.0000 0.3288  0.06
9 Y 0.0000 0.6687 0.3313  -0.05

- DFT formation energy (eV per atom) = 0.057
- total magnetization (μB/f.u.) = 6.19
- D(E_F) (states/eV/atom) = 1.99
- theoretical density (g/cm3) = 5.55
- electronic total energy (eV/atom) = -7.28
- SG = I4/mmm, No. 139

=====

No. 2
The following is a PBE calculation of an optimized crystal structure of SnRuSe2, from Alexandria via LeMat-Bulk.

abc: 8.8014 8.8014 8.8014
angles: 23.84 23.84 23.84
Atoms (fractional coordinates):
1 Sn 0.0000 0.0000 0.0000
2 Se 0.8854 0.8854 0.8854
3 Se 0.1146 0.1146 0.1146
4 Ru 0.5000 0.5000 0.5000

- total magnetization (μB/f.u.) = 0.00
- D(E_F) (states/eV/atom) = 1.26
- theoretical density (g/cm3) = 6.41
- electronic total energy (eV/atom) = -5.17
- SG = R-3m, No. 166

=====

No. 3
The following is a PBE calculation of an optimized crystal structure of Rb6GaBr8, from Alexandria via LeMat-Bulk.

abc: 8.4534 9.5363 9.5363
angles: 120.00 90.00 90.00
Last column: magnetic moment on the atom in μB.
Atoms (fractional coordinates):
1 Rb 0.2291 0.9999 0.3898  0.00
2 Rb 0.7709 0.6101 0.9999  0.00
3 Rb 0.7709 0.3898 0.3899  0.00
4 Br 0.3241 0.7446 0.9999  0.06
5 Br 0.9999 0.6667 0.3333  0.00
6 Rb 0.2291 0.3899 0.0001  0.00
7 Br 0.6759 0.7447 0.7446  0.06
8 Br 0.0001 0.3333 0.6667  0.00
9 Br 0.6759 0.9999 0.2553  0.06
10 Br 0.3241 0.0001 0.7447  0.06
11 Br 0.6759 0.2554 0.0001  0.06
12 Br 0.3241 0.2553 0.2554  0.06
13 Rb 0.7709 0.0001 0.6102  0.00
14 Rb 0.2291 0.6102 0.6101  0.00
15 Ga 0.5000 0.0000 0.0000  0.29

- total magnetization (μB/f.u.) = 0.89
- D(E_F) (states/eV/atom) = 0.26
- theoretical density (g/cm3) = 3.05
- electronic total energy (eV/atom) = -2.94
- SG = P-31m, No. 162

=====

No. 4
The following is a PBE calculation of an optimized crystal structure of LiGaPdPt, from Alexandria via LeMat-Bulk.

abc: 4.2877 4.2877 4.2877
angles: 60.00 60.00 60.00
Atoms (fractional coordinates):
1 Pd 0.7500 0.7500 0.7500
2 Pt 0.2500 0.2500 0.2500
3 Ga 0.0000 0.0000 0.0000
4 Li 0.5000 0.5000 0.5000

- DFT formation energy (eV per atom) = -0.719
- total magnetization (μB/f.u.) = 0.00
- D(E_F) (states/eV/atom) = 0.49
- theoretical density (g/cm3) = 11.27
- electronic total energy (eV/atom) = -4.76
- SG = F-43m, No. 216

=====

No. 5
The following is a PBE calculation of an optimized crystal structure of La12ErTm7, from Alexandria via LeMat-Bulk.

abc: 6.3366 11.4874 11.4874
angles: 116.70 100.60 100.60
Atoms (fractional coordinates):
1 La 0.9080 0.8167 0.4084
2 Tm 0.3599 0.2454 0.2457
3 La 0.4265 0.3538 0.0002
4 La 0.4996 0.5916 0.4083
5 La 0.0913 0.5917 0.1833
6 Tm 0.5000 0.0000 0.0000
7 La 0.9273 0.3535 0.3538
8 La 0.5004 0.4084 0.5917
9 Tm 0.6401 0.7546 0.7543
10 La 0.4262 0.9998 0.3535
11 La 0.5735 0.6462 0.9998
12 Tm 0.1144 0.0002 0.7546
13 Er 0.0000 0.0000 0.0000
14 Tm 0.1142 0.7543 0.9998
15 La 0.0920 0.1833 0.5916
16 Tm 0.8858 0.2457 0.0002
17 La 0.9087 0.4083 0.8167
18 La 0.5738 0.0002 0.6465
19 Tm 0.8856 0.9998 0.2454
20 La 0.0727 0.6465 0.6462

- DFT formation energy (eV per atom) = 0.193
- total magnetization (μB/f.u.) = 0.00
- D(E_F) (states/eV/atom) = 1.42
- theoretical density (g/cm3) = 7.16
- electronic total energy (eV/atom) = -4.56
- SG = R-3m, No. 166

=====

No. 6
The following is a PBE calculation of an optimized crystal structure of Tc2IrAu, from Alexandria via LeMat-Bulk.

abc: 4.8137 4.8137 4.8137
angles: 131.76 131.76 70.60
Atoms (fractional coordinates):
1 Au 0.5000 0.5000 0.0000
2 Tc 0.0000 0.0000 0.0000
3 Tc 0.2500 0.7500 0.5000
4 Ir 0.7500 0.2500 0.5000

- DFT formation energy (eV per atom) = 0.228
- total magnetization (μB/f.u.) = 0.00
- D(E_F) (states/eV/atom) = 1.26
- theoretical density (g/cm3) = 15.98
- electronic total energy (eV/atom) = -7.99
- SG = I-4m2, No. 119

=====

No. 7
The following is a PBE calculation of an optimized crystal structure of Li2UAgF8, from Alexandria via LeMat-Bulk.

abc: 4.7839 4.8067 7.8878
angles: 89.95 89.95 82.60
Last column: magnetic moment on the atom in μB.
Atoms (fractional coordinates):
1 F 0.6883 0.6916 0.4998  0.00
2 U 0.0000 0.0000 0.0000  1.08
3 F 0.2227 0.7695 0.1979  -0.02
4 F 0.7769 0.2301 0.1979  -0.02
5 F 0.3117 0.3084 0.5002  0.00
6 F 0.7106 0.7216 0.0001  -0.02
7 Ag 0.0000 0.0000 0.5000  -0.01
8 F 0.7773 0.2305 0.8021  -0.02
9 Li 0.5000 0.4999 0.3337  0.00
10 F 0.2231 0.7699 0.8021  -0.02
11 Li 0.5000 0.5001 0.6663  0.00
12 F 0.2894 0.2784 0.9999  -0.02

- total magnetization (μB/f.u.) = 1.00
- theoretical density (g/cm3) = 4.72
- electronic total energy (eV/atom) = -5.63
- SG = P-1, No. 2

=====

No. 8
The following is a PBE calculation of an optimized crystal structure of TaZn2Pd, from Alexandria via LeMat-Bulk.

abc: 7.0732 7.0732 5.6737
angles: 51.44 51.44 90.00
Atoms (fractional coordinates):
1 Zn 0.1413 0.6250 0.2500
2 Pd 0.5000 0.5000 0.0000
3 Ta 0.0000 0.0000 0.0000
4 Ta 0.7500 0.2500 0.5000
5 Pd 0.2500 0.7500 0.5000
6 Zn 0.3750 0.3913 0.7500
7 Zn 0.8750 0.8587 0.7500
8 Zn 0.6087 0.1250 0.2500

- DFT formation energy (eV per atom) = 0.247
- total magnetization (μB/f.u.) = 0.00
- D(E_F) (states/eV/atom) = 0.61
- theoretical density (g/cm3) = 10.36
- electronic total energy (eV/atom) = -4.65
- SG = I-42d, No. 122

=====

No. 9
The following is a PBE calculation of an optimized crystal structure of La5Tl, from Alexandria via LeMat-Bulk.

abc: 6.7782 6.7782 8.8341
angles: 74.41 74.41 32.49
Atoms (fractional coordinates):
1 Tl 0.2750 0.2750 0.9429
2 La 0.3309 0.3309 0.3411
3 La 0.9522 0.9522 0.6098
4 La 0.6765 0.6765 0.6986
5 La 0.9785 0.9785 0.9983
6 La 0.6203 0.6203 0.2427

- DFT formation energy (eV per atom) = -0.129
- total magnetization (μB/f.u.) = 0.00
- D(E_F) (states/eV/atom) = 1.44
- theoretical density (g/cm3) = 7.13
- electronic total energy (eV/atom) = -4.63
- SG = Cm, No. 8

=====

No. 10
The following is a PBE calculation of an optimized crystal structure of RbMg4AsP2, from Alexandria via LeMat-Bulk.

abc: 4.4134 4.4134 10.5076
angles: 90.00 90.00 90.00
Atoms (fractional coordinates):
1 Mg 0.5000 0.0000 0.1622
2 P 0.5000 0.5000 0.7168
3 As 0.0000 0.0000 0.0000
4 P 0.5000 0.5000 0.2832
5 Mg 0.0000 0.5000 0.8378
6 Mg 0.0000 0.5000 0.1622
7 Mg 0.5000 0.0000 0.8378
8 Rb 0.0000 0.0000 0.5000

- DFT formation energy (eV per atom) = -0.640
- total magnetization (μB/f.u.) = 0.00
- theoretical density (g/cm3) = 2.59
- electronic total energy (eV/atom) = -3.49
- SG = P4/mmm, No. 123

=====

No. 11
The following is a PBE calculation of an optimized crystal structure of Y2GaNi, from Alexandria via LeMat-Bulk.

abc: 4.3190 5.9003 7.6400
angles: 114.66 90.00 90.00
Atoms (fractional coordinates):
1 Ni 0.7500 0.6184 0.7885
2 Y 0.7500 0.2042 0.9316
3 Ga 0.7500 0.6689 0.2913
4 Y 0.2500 0.7626 0.5866
5 Ga 0.2500 0.3311 0.7087
6 Y 0.2500 0.7958 0.0684
7 Y 0.7500 0.2374 0.4134
8 Ni 0.2500 0.3816 0.2115

- DFT formation energy (eV per atom) = -0.519
- total magnetization (μB/f.u.) = 0.00
- D(E_F) (states/eV/atom) = 0.72
- theoretical density (g/cm3) = 5.75
- electronic total energy (eV/atom) = -5.95
- SG = P2_1/m, No. 11

=====

No. 12
The following is a PBE calculation of an optimized crystal structure of ErNp2, from Alexandria via LeMat-Bulk.

abc: 3.4005 3.4005 6.3265
angles: 105.59 105.59 90.00
Atoms (fractional coordinates):
1 Np 0.7150 0.7150 0.4299
2 Np 0.2850 0.2850 0.5701
3 Er 0.0000 0.0000 0.0000

- DFT formation energy (eV per atom) = 0.264
- total magnetization (μB/f.u.) = 0.00
- D(E_F) (states/eV/atom) = 3.06
- theoretical density (g/cm3) = 15.74
- electronic total energy (eV/atom) = -9.88
- SG = I4/mmm, No. 139